DFT (PBE) results for La2SmZnTe5 after structural relaxation.

a b c (Å): 4.387 19.441 13.338
angles (deg): 90.00 90.00 90.00
Space group Cmc2_1 (No. 36)
Unique sites:
La  0.000  0.115  0.000
La  0.000  0.127  0.627
Sm  0.000  0.198  0.328
Zn  0.000  0.438  0.769
Te  0.000  0.042  0.379
Te  0.000  0.289  0.993
Te  0.000  0.314  0.661
Te  0.000  0.359  0.317
Te  0.000  0.499  0.094

Summary:
**Raw formation energy**: -1291 meV per atom
**Magnetic moment**: 0.00 μB per atom
**VASP energy**: -4.7972 eV per atom